First-principles (meta-GGA SCAN) data for LiMg2Rh at its PBEsol-relaxed geometry, as listed in Alexandria via LeMat-Bulk.

Properties
**Mass density**: 4186 kg/m³
**SG**: No. 123
**M_tot**: 0.0 μB/f.u.
**Formation energy**: -149.6 kJ/mol of formula units

a b c (Å): 3.137 4.477 4.476
angles (deg): 90.00 90.00 90.00
Atoms (fractional coordinates):
Mg 0.000 0.875 0.000
Mg 0.000 0.375 0.500
Rh 0.500 0.375 0.000
Li 0.500 0.875 0.500